[1]
VASP calculation (PBE-GGA) on GaMo after structural relaxation.

Results
The value obtained for the formation energy from the elements is -0.01 eV/atom. The calculation puts the excess energy over the best structure of this formula in the dataset at 81.1 meV per atom.

POSCAR file:
```
GaMo
1.0
8.324 0.000 0.000
0.000 4.572 0.000
0.000 0.000 4.896
Ga Mo
6 6
Direct
0.000 0.003 0.000
0.170 0.501 0.814
0.330 0.499 0.314
0.500 0.997 0.500
0.670 0.499 0.314
0.830 0.501 0.814
0.000 0.504 0.344
0.169 0.003 0.495
0.331 0.997 0.995
0.500 0.496 0.844
0.669 0.997 0.995
0.831 0.003 0.495
```

[2]
VASP calculation (PBE-GGA) on Ca2Cu2Pt after structural relaxation.

Results
The value obtained for the formation energy from the elements is -0.23 eV/atom. The calculation puts the excess energy over the best structure of this formula in the dataset at 232.2 meV per atom.

POSCAR file:
```
Ca2Cu2Pt
1.0
-2.742 2.742 3.652
2.742 -2.742 3.652
2.742 2.742 -3.652
Ca Cu Pt
2 2 1
Direct
0.250 0.750 0.500
0.750 0.250 0.500
0.157 0.157 0.000
0.843 0.843 0.000
0.500 0.500 0.000
```

[3]
VASP calculation (PBE-GGA) on Sm4Np6O19 after structural relaxation.

Results
As for the formation energy from raw total energies: -292 kJ per mole of atoms.

POSCAR file:
```
Sm4Np6O19
1.0
-4.878 4.878 4.878
4.878 -4.878 4.878
4.878 4.878 -4.878
Sm Np O
4 6 19
Direct
0.000 0.000 0.712
0.000 0.712 0.000
0.288 0.288 0.288
0.712 0.000 0.000
0.176 0.676 0.500
0.324 0.500 0.824
0.500 0.176 0.676
0.500 0.824 0.324
0.676 0.500 0.176
0.824 0.324 0.500
0.000 0.000 0.000
0.000 0.358 0.358
0.000 0.642 0.642
0.022 0.256 0.668
0.234 0.978 0.646
0.256 0.668 0.022
0.332 0.588 0.354
0.354 0.332 0.588
0.358 0.000 0.358
0.358 0.358 0.000
0.412 0.744 0.766
0.588 0.354 0.332
0.642 0.000 0.642
0.642 0.642 0.000
0.646 0.234 0.978
0.668 0.022 0.256
0.744 0.766 0.412
0.766 0.412 0.744
0.978 0.646 0.234
```

[4]
VASP calculation (PBE-GGA) on DyTlCdPt after structural relaxation.

Results
The value obtained for the formation energy from the elements is -0.48 eV/atom.

POSCAR file:
```
DyTlCdPt
1.0
0.000 3.525 3.525
3.525 0.000 3.525
3.525 3.525 0.000
Dy Tl Cd Pt
1 1 1 1
Direct
0.000 0.000 0.000
0.750 0.750 0.750
0.500 0.500 0.500
0.250 0.250 0.250
```

[5]
VASP calculation (PBE-GGA) on DyEr3Ir after structural relaxation.

Results
The value obtained for the formation energy from the elements is -0.28 eV/atom. The calculation puts the excess energy over the best structure of this formula in the dataset at 79.3 meV per atom.

POSCAR file:
```
DyEr3Ir
1.0
5.382 0.000 0.000
0.000 5.382 0.000
0.000 0.000 5.382
Dy Er Ir
1 3 1
Direct
0.000 0.000 0.000
0.000 0.500 0.500
0.500 0.000 0.500
0.500 0.500 0.000
0.500 0.500 0.500
```

[6]
VASP calculation (PBE-GGA) on Ba7B12Ir12 after structural relaxation.

Results
The value obtained for the formation energy from the elements is -0.48 eV/atom.

POSCAR file:
```
Ba7B12Ir12
1.0
7.726 4.461 2.812
-7.726 4.461 2.812
0.000 -8.922 2.812
Ba B Ir
7 12 12
Direct
0.000 0.000 0.000
0.206 0.206 0.510
0.206 0.510 0.206
0.490 0.794 0.794
0.510 0.206 0.206
0.794 0.490 0.794
0.794 0.794 0.490
0.000 0.228 0.772
0.000 0.441 0.559
0.000 0.559 0.441
0.000 0.772 0.228
0.228 0.000 0.772
0.228 0.772 0.000
0.441 0.000 0.559
0.441 0.559 0.000
0.559 0.000 0.441
0.559 0.441 0.000
0.772 0.000 0.228
0.772 0.228 0.000
0.116 0.736 0.736
0.170 0.500 0.830
0.170 0.830 0.500
0.264 0.264 0.884
0.264 0.884 0.264
0.500 0.170 0.830
0.500 0.830 0.170
0.736 0.116 0.736
0.736 0.736 0.116
0.830 0.170 0.500
0.830 0.500 0.170
0.884 0.264 0.264
```

[7]
VASP calculation (PBE-GGA) on NiAsSe3 after structural relaxation.

Results
As for the formation energy from raw total energies: 41 kJ per mole of atoms. The calculation puts the excess energy over the best structure of this formula in the dataset at 0.0 meV per atom.

POSCAR file:
```
NiAsSe3
1.0
4.675 0.000 0.000
0.000 4.675 0.000
0.000 0.000 4.675
Ni As Se
1 1 3
Direct
0.000 0.000 0.000
0.500 0.500 0.500
0.000 0.000 0.500
0.000 0.500 0.000
0.500 0.000 0.000
```

[8]
VASP calculation (PBE-GGA) on IrRu2 after structural relaxation.

Results
The value obtained for the formation energy from the elements is -0.03 eV/atom. The calculation puts the excess energy over the best structure of this formula in the dataset at 17.4 meV per atom.

POSCAR file:
```
IrRu2
1.0
1.371 -7.127 0.000
1.371 7.127 0.000
0.000 0.000 4.326
Ir Ru
2 4
Direct
0.222 0.778 0.750
0.778 0.222 0.250
0.109 0.891 0.250
0.446 0.554 0.250
0.554 0.446 0.750
0.891 0.109 0.750
```

[9]
VASP calculation (PBE-GGA) on CsK2GaAu after structural relaxation.

Results
The value obtained for the formation energy from the elements is -0.08 eV/atom. The calculation puts the excess energy over the best structure of this formula in the dataset at 0.0 meV per atom.

POSCAR file:
```
CsK2GaAu
1.0
6.669 0.000 0.000
0.000 6.669 0.000
0.000 0.000 5.001
Cs K Ga Au
1 2 1 1
Direct
0.000 0.000 0.000
0.000 0.500 0.500
0.500 0.000 0.500
0.500 0.500 0.000
0.500 0.500 0.500
```

[10]
VASP calculation (PBE-GGA) on BeBiH after structural relaxation.

Results
The calculation puts the excess energy over the best structure of this formula in the dataset at 0.0 meV per atom.

POSCAR file:
```
BeBiH
1.0
6.378 0.000 0.000
0.000 3.229 0.000
-1.422 0.000 9.841
Be Bi H
4 4 4
Direct
0.180 0.250 0.422
0.235 0.750 0.580
0.765 0.250 0.420
0.820 0.750 0.578
0.092 0.750 0.818
0.412 0.250 0.218
0.588 0.750 0.782
0.908 0.250 0.182
0.151 0.750 0.434
0.281 0.250 0.567
0.719 0.750 0.433
0.849 0.250 0.566
```

[11]
VASP calculation (PBE-GGA) on K4Pm3ThS8 after structural relaxation.

Results
As for the formation energy from raw total energies: -176 kJ per mole of atoms.

POSCAR file:
```
K4Pm3ThS8
1.0
4.151 2.396 7.405
-4.151 2.396 7.405
0.000 -4.793 7.405
K Pm Th S
4 3 1 8
Direct
0.000 0.000 0.000
0.000 0.500 0.500
0.500 0.000 0.500
0.500 0.500 0.000
0.000 0.000 0.500
0.000 0.500 0.000
0.500 0.000 0.000
0.500 0.500 0.500
0.236 0.236 0.236
0.241 0.734 0.734
0.266 0.266 0.759
0.266 0.759 0.266
0.734 0.241 0.734
0.734 0.734 0.241
0.759 0.266 0.266
0.764 0.764 0.764
```

[12]
VASP calculation (PBE-GGA) on MnBe5Cu after structural relaxation.

Results
The value obtained for the formation energy from the elements is -0.07 eV/atom.

POSCAR file:
```
MnBe5Cu
1.0
6.906 0.000 0.000
0.000 4.148 0.000
0.000 0.000 8.706
Mn Be Cu
4 20 4
Direct
0.250 0.250 0.068
0.250 0.750 0.568
0.750 0.250 0.432
0.750 0.750 0.932
0.043 0.250 0.593
0.059 0.505 0.808
0.059 0.995 0.808
0.085 0.750 0.017
0.198 0.750 0.241
0.302 0.250 0.741
0.415 0.250 0.517
0.441 0.005 0.308
0.441 0.495 0.308
0.457 0.750 0.093
0.543 0.250 0.907
0.559 0.505 0.692
0.559 0.995 0.692
0.585 0.750 0.483
0.698 0.750 0.259
0.802 0.250 0.759
0.915 0.250 0.983
0.941 0.005 0.192
0.941 0.495 0.192
0.957 0.750 0.407
0.147 0.250 0.362
0.353 0.750 0.862
0.647 0.250 0.138
0.853 0.750 0.638
```